VASP calculation (PBE with a Hubbard U) on a geometry-optimized NaTiNiO2 structure.

The structure in POSCAR format:
```
NaTiNiO2
1.0
-0.713 3.599 1.491
-4.023 -0.144 -1.577
-1.263 -1.647 3.373
O Na Ti Ni
2 1 1 1
Direct
0.500 0.000 0.000
0.000 0.000 0.500
0.000 0.000 0.000
0.000 0.500 0.000
0.500 0.500 0.500
```

Values from the calculation:
Spin magnetization: 0.3 Bohr magnetons per cell
Density of states at the Fermi level: 6.195 states/eV/cell
Energy: -3.185 eV per atom